No. 1
Entry from the Alexandria database: a geometry-optimized HoSc2In2Ag2 structure (PBE).

VASP energy = -0.317 Ry per atom
Formation energy from the elements = -0.251 eV per atom

Lattice parameters (Å, degrees): 4.7463 4.7463 8.7076 74.18 74.18 60.00
With the nearest neighbours (Å) after each atom.
Atoms (fractional coordinates):
Ho 0.0000 0.0000 0.0000  6 In 3.27, 2 Sc 3.34
Sc 0.1348 0.1348 0.5955  3 Ag 2.85, 4 In 3.13-3.15, 3 Sc 3.16
Sc 0.8652 0.8652 0.4045  3 Ag 2.85, 4 In 3.13-3.15, 3 Sc 3.16
In 0.7388 0.7388 0.7835  3 Ag 2.84, 4 Sc 3.13-3.15
In 0.2612 0.2612 0.2165  3 Ag 2.84, 4 Sc 3.13-3.15
Ag 0.5640 0.5640 0.3079  3 In 2.84, 3 Sc 2.85, 1 Ag 3.18
Ag 0.4360 0.4360 0.6921  3 In 2.84, 3 Sc 2.85, 1 Ag 3.18

***

No. 2
Entry from the Alexandria database: a geometry-optimized Ho2InAgSe4 structure (PBE).

Formation energy (no corrections) = -9.79 eV/f.u.
VASP energy = -0.353 Ry per atom

Lattice parameters (Å, degrees): 4.1479 7.2402 14.8538 90.00 90.00 106.65
With the nearest neighbours (Å) after each atom.
Atoms (fractional coordinates):
Ho 0.3695 0.7390 0.5687  6 Se 2.86-2.94
Ho 0.6305 0.2610 0.0687  6 Se 2.86-2.94
Ho 0.6305 0.2610 0.4313  6 Se 2.86-2.94
Ho 0.3695 0.7390 0.9313  6 Se 2.86-2.94
In 0.1222 0.2445 0.7500  6 Se 3.14-3.39
In 0.8778 0.7555 0.2500  6 Se 3.14-3.39
Ag 0.8350 0.6700 0.7500  4 Se 2.62-2.63
Ag 0.1650 0.3300 0.2500  4 Se 2.62-2.63
Se 0.2675 0.5350 0.1017  1 Ag 2.62, 3 Ho 2.86-2.90
Se 0.7325 0.4650 0.6017  1 Ag 2.62, 3 Ho 2.86-2.90
Se 0.7325 0.4650 0.8983  1 Ag 2.62, 3 Ho 2.86-2.90
Se 0.2675 0.5350 0.3983  1 Ag 2.62, 3 Ho 2.86-2.90
Se 0.0000 0.0000 0.5000  4 Ho 2.94
Se 0.0000 0.0000 0.0000  4 Ho 2.94
Se 0.4519 0.9038 0.7500  2 Ag 2.63, 2 Ho 2.93
Se 0.5481 0.0962 0.2500  2 Ag 2.63, 2 Ho 2.93

***

No. 3
Entry from the Alexandria database: a geometry-optimized SmHo2In2Ag2 structure (PBE).

VASP energy = -0.284 Ry per atom
Formation energy from the elements = -0.283 eV per atom

Lattice parameters (Å, degrees): 4.8657 4.8657 9.3185 74.87 74.87 60.00
With the nearest neighbours (Å) after each atom.
Atoms (fractional coordinates):
Sm 0.0000 0.0000 0.0000  6 Ag 3.37, 2 Ho 3.38, 6 In 3.45
Ho 0.1269 0.1269 0.6192  4 In 3.13-3.50, 3 Ag 3.20, 1 Sm 3.38
Ho 0.8731 0.8731 0.3808  4 In 3.13-3.50, 3 Ag 3.20, 1 Sm 3.38
In 0.7417 0.7417 0.7748  3 Ag 2.81, 3 Ho 3.13
In 0.2583 0.2583 0.2252  3 Ag 2.81, 3 Ho 3.13
Ag 0.5969 0.5969 0.2092  3 In 2.81
Ag 0.4031 0.4031 0.7908  3 In 2.81